! Tl4RhCl, relaxed, DFT PBE; values from VASP
&SYSTEM
  ibrav = 0, nat = 6, ntyp = 3
/
ATOMIC_SPECIES
Tl 204.38 Tl.upf
Rh 102.91 Rh.upf
Cl 35.45 Cl.upf
ATOMIC_POSITIONS crystal
Tl 0.1253 0.1253 0.1253
Tl 0.1253 0.1253 0.6242
Tl 0.1253 0.6242 0.1253
Tl 0.6242 0.1253 0.1253
Rh 0.5000 0.5000 0.5000
Cl 0.7500 0.7500 0.7500
CELL_PARAMETERS angstrom
0.0000 4.3828 4.3828
4.3828 0.0000 4.3828
4.3828 4.3828 0.0000
! Calculated density in g cm⁻³: 9.43
! ΔE_f (raw) in kJ/mol of formula units: 232.6
! Total moment in μB per atom: 0.000



! Sr2Ge2Pt, relaxed, DFT PBE; values from VASP
&SYSTEM
  ibrav = 0, nat = 10, ntyp = 3
/
ATOMIC_SPECIES
Sr 87.62 Sr.upf
Ge 72.64 Ge.upf
Pt 195.08 Pt.upf
ATOMIC_POSITIONS crystal
Sr 0.1016 0.1016 0.3976
Sr 0.2889 0.2889 0.8513
Sr 0.7111 0.7111 0.1487
Sr 0.8984 0.8984 0.6024
Ge 0.0395 0.0395 0.9137
Ge 0.3930 0.3930 0.3872
Ge 0.6070 0.6070 0.6128
Ge 0.9605 0.9605 0.0863
Pt 0.4403 0.4403 0.1864
Pt 0.5597 0.5597 0.8136
CELL_PARAMETERS angstrom
5.8467 -2.2103 0.0000
5.8467 2.2103 0.0000
-4.9192 0.0000 10.1837
! Calculated density in g cm⁻³: 6.51
! Excess energy over the best structure of this formula in the dataset in meV/atom: 0
! E_form in meV per atom: -755
! Total moment in μB per atom: 0.000



! BAu3Br, relaxed, DFT PBE; values from VASP
&SYSTEM
  ibrav = 0, nat = 5, ntyp = 3
/
ATOMIC_SPECIES
B 10.81 B.upf
Au 196.97 Au.upf
Br 79.90 Br.upf
ATOMIC_POSITIONS crystal
B 0.0000 0.0000 0.0000
Au 0.0000 0.0000 0.5000
Au 0.0000 0.5000 0.0000
Au 0.5000 0.0000 0.0000
Br 0.5000 0.5000 0.5000
CELL_PARAMETERS angstrom
4.5276 0.0000 0.0000
0.0000 4.5276 0.0000
0.0000 0.0000 4.5276
! Calculated density in g cm⁻³: 12.20
! Excess energy over the best structure of this formula in the dataset in meV/atom: 0
! ΔE_f (raw) in kJ/mol of formula units: 275.8
! Total moment in μB per atom: 0.000



! Na2TlAs2, relaxed, DFT PBE; values from VASP
&SYSTEM
  ibrav = 0, nat = 10, ntyp = 3
/
ATOMIC_SPECIES
Na 22.99 Na.upf
Tl 204.38 Tl.upf
As 74.92 As.upf
ATOMIC_POSITIONS crystal
Na 0.0366 0.0366 0.2271
Na 0.1762 0.1762 0.5891
Na 0.8238 0.8238 0.4109
Na 0.9634 0.9634 0.7729
Tl 0.2942 0.2942 0.1294
Tl 0.7058 0.7058 0.8706
As 0.3811 0.3811 0.9051
As 0.4693 0.4693 0.5950
As 0.5307 0.5307 0.4050
As 0.6189 0.6189 0.0949
CELL_PARAMETERS angstrom
5.3945 -2.4222 0.0000
5.3945 2.4222 0.0000
-4.9149 0.0000 10.0580
! Calculated density in g cm⁻³: 5.06
! Excess energy over the best structure of this formula in the dataset in meV/atom: 21
! E_form in meV per atom: -230
! Total moment in μB per atom: 0.000



! TaTlBr2, relaxed, DFT PBE; values from VASP
&SYSTEM
  ibrav = 0, nat = 4, ntyp = 3
/
ATOMIC_SPECIES
Ta 180.95 Ta.upf
Tl 204.38 Tl.upf
Br 79.90 Br.upf
ATOMIC_POSITIONS crystal
Ta 0.0000 0.0000 0.0000
Tl 0.5000 0.5000 0.5000
Br 0.2742 0.2742 0.8200
Br 0.7258 0.7258 0.1800
CELL_PARAMETERS angstrom
2.8962 -1.6677 0.0000
2.8962 1.6677 0.0000
-1.8877 0.0000 10.5248
! Calculated density in g cm⁻³: 8.90
! Excess energy over the best structure of this formula in the dataset in meV/atom: 11
! ΔE_f (raw) in kJ/mol of formula units: -74.9
! Total moment in μB per atom: 0.000



! Tl4HgCl2F, relaxed, DFT PBE; values from VASP
&SYSTEM
  ibrav = 0, nat = 16, ntyp = 4
/
ATOMIC_SPECIES
Tl 204.38 Tl.upf
Hg 200.59 Hg.upf
Cl 35.45 Cl.upf
F 19.00 F.upf
ATOMIC_POSITIONS crystal
Tl 0.1797 0.6857 0.9645
Tl 0.2333 0.2592 0.9971
Tl 0.2592 0.2333 0.4971
Tl 0.3143 0.8203 0.5355
Tl 0.6857 0.1797 0.4645
Tl 0.7408 0.7667 0.5029
Tl 0.7667 0.7408 0.0029
Tl 0.8203 0.3143 0.0355
Hg 0.5000 0.5000 0.0000
Hg 0.5000 0.5000 0.5000
Cl 0.0000 0.0000 0.0000
Cl 0.0000 0.0000 0.5000
Cl 0.0000 0.5000 0.5000
Cl 0.5000 0.0000 0.0000
F 0.0000 0.5000 0.0000
F 0.5000 0.0000 0.5000
CELL_PARAMETERS angstrom
6.4295 -6.1919 0.0000
6.4295 6.1919 0.0000
-4.7858 0.0000 6.4345
! Calculated density in g cm⁻³: 7.18
! ΔE_f (raw) in kJ/mol of formula units: -639.5
! Total moment in μB per atom: 0.000



! Pm2TmPb2O2, relaxed, DFT PBE; values from VASP
&SYSTEM
  ibrav = 0, nat = 7, ntyp = 4
/
ATOMIC_SPECIES
Pm 145.00 Pm.upf
Tm 168.93 Tm.upf
Pb 207.20 Pb.upf
O 16.00 O.upf
ATOMIC_POSITIONS crystal
Pm 0.1041 0.1041 0.0000
Pm 0.8959 0.8959 0.0000
Tm 0.5000 0.5000 0.0000
Pb 0.2978 0.2978 0.0000
Pb 0.7022 0.7022 0.0000
O 0.0000 0.5000 0.5000
O 0.5000 0.0000 0.5000
CELL_PARAMETERS angstrom
-2.1819 2.1819 8.1953
2.1819 -2.1819 8.1953
2.1819 2.1819 -8.1953
! Calculated density in g cm⁻³: 9.63
! ΔE_f (raw) in kJ/mol of formula units: -1135.3
! Total moment in μB per atom: 0.000



! NbTe4Au, relaxed, DFT PBE; values from VASP
&SYSTEM
  ibrav = 0, nat = 6, ntyp = 3
/
ATOMIC_SPECIES
Nb 92.91 Nb.upf
Te 127.60 Te.upf
Au 196.97 Au.upf
ATOMIC_POSITIONS crystal
Nb 0.0000 0.0000 0.0000
Te 0.5021 0.4940 0.4960
Te 0.5060 0.0020 0.0081
Te 0.9939 0.4979 0.9919
Te 0.9980 0.0061 0.5040
Au 0.2500 0.7500 0.5000
CELL_PARAMETERS angstrom
-3.7712 3.7712 3.1448
3.7712 -3.7712 3.1448
3.7712 3.7712 -3.1448
! Calculated density in g cm⁻³: 7.43
! Excess energy over the best structure of this formula in the dataset in meV/atom: 283
! ΔE_f (raw) in kJ/mol of formula units: 84.8
! Total moment in μB per atom: 0.358